# 1
! BaTi2AgO, optimized geometry, DFT PBEsol; values from VASP
&SYSTEM
  ibrav = 0, nat = 5, ntyp = 4
/
ATOMIC_SPECIES
O 16.00 O.upf
Ba 137.33 Ba.upf
Ag 107.87 Ag.upf
Ti 47.87 Ti.upf
CELL_PARAMETERS angstrom
-0.6867 0.0864 -4.4477
4.4521 -2.3743 -0.7335
-2.3601 -4.5111 0.2767
ATOMIC_POSITIONS crystal
O 0.5000 0.0000 0.0000
Ba 0.5000 0.5000 0.5000
Ag 0.0000 0.0000 0.0000
Ti 0.0000 0.0000 0.5000
Ti 0.0000 0.5000 0.0000
! SG ... No. 123
! E_form (uncorrected) ... 824 meV/atom


# 2
! NbB2WI, optimized geometry, DFT PBEsol; values from VASP
&SYSTEM
  ibrav = 0, nat = 5, ntyp = 4
/
ATOMIC_SPECIES
I 126.90 I.upf
Nb 92.91 Nb.upf
B 10.81 B.upf
W 183.84 W.upf
CELL_PARAMETERS angstrom
4.2715 0.0000 0.0000
0.0000 4.2715 0.0000
0.0000 0.0000 5.1397
ATOMIC_POSITIONS crystal
I 0.5000 0.5000 0.5000
Nb 0.0000 0.0000 0.0000
B 0.0000 0.5000 0.0000
B 0.5000 0.0000 0.0000
W 0.0000 0.0000 0.5000
! SG ... No. 123
! E_form (uncorrected) ... 1931 meV/atom


# 3
! MgTe2Pt, optimized geometry, DFT PBEsol; values from VASP
&SYSTEM
  ibrav = 0, nat = 4, ntyp = 3
/
ATOMIC_SPECIES
Mg 24.30 Mg.upf
Pt 195.08 Pt.upf
Te 127.60 Te.upf
CELL_PARAMETERS angstrom
3.9704 0.0000 0.0000
0.0000 5.0730 -0.0149
0.0000 -1.5111 4.8427
ATOMIC_POSITIONS crystal
Mg 0.5000 0.5000 0.5000
Pt 0.5000 0.0000 0.0000
Te 0.0000 0.7858 0.2142
Te 0.0000 0.2142 0.7858
! SG ... No. 65
! E_form (uncorrected) ... -291 meV/atom


# 4
! Mn2CoAg, optimized geometry, DFT PBEsol; values from VASP
&SYSTEM
  ibrav = 0, nat = 4, ntyp = 3
/
ATOMIC_SPECIES
Ag 107.87 Ag.upf
Co 58.93 Co.upf
Mn 54.94 Mn.upf
CELL_PARAMETERS angstrom
2.5477 0.0000 0.0000
1.2739 2.2064 0.0000
1.2739 0.7355 8.5144
ATOMIC_POSITIONS crystal
Ag 0.0000 0.0000 0.0000
Co 0.5000 0.5000 0.5000
Mn 0.2414 0.2414 0.2758
Mn 0.7586 0.7586 0.7242
! SG ... No. 166
! Relative energy among the computed polymorphs ... 0.50 eV per formula unit
! Formation enthalpy at 0 K ... 445 meV/atom


# 5
! SrLi2TeCl, optimized geometry, DFT PBEsol; values from VASP
&SYSTEM
  ibrav = 0, nat = 5, ntyp = 4
/
ATOMIC_SPECIES
Sr 87.62 Sr.upf
Te 127.60 Te.upf
Li 6.94 Li.upf
Cl 35.45 Cl.upf
CELL_PARAMETERS angstrom
-1.5217 1.8726 -4.3474
0.8202 -4.3932 -2.1794
-6.0962 -1.8099 1.3542
ATOMIC_POSITIONS crystal
Sr 0.0000 0.0000 0.5000
Te 0.0000 0.0000 0.0000
Li 0.0000 0.5000 0.0000
Li 0.5000 0.0000 0.0000
Cl 0.5000 0.5000 0.5000
! SG ... No. 123
! E_form (uncorrected) ... -937 meV/atom


# 6
! LaRhBr4, optimized geometry, DFT PBEsol; values from VASP
&SYSTEM
  ibrav = 0, nat = 6, ntyp = 3
/
ATOMIC_SPECIES
Br 79.90 Br.upf
La 138.91 La.upf
Rh 102.91 Rh.upf
CELL_PARAMETERS angstrom
-1.1169 5.1516 -2.8236
-5.6355 1.5695 -1.2394
-2.5588 4.5309 2.9466
ATOMIC_POSITIONS crystal
Br 0.3747 0.3747 0.3747
Br 0.3747 0.3747 0.8759
Br 0.8759 0.3747 0.3747
Br 0.3747 0.8759 0.3747
La 0.7500 0.7500 0.7500
Rh 0.0000 0.0000 0.0000
! SG ... No. 216
! E_form (uncorrected) ... 238 meV/atom


# 7
! RbY3W, optimized geometry, DFT PBEsol; values from VASP
&SYSTEM
  ibrav = 0, nat = 5, ntyp = 3
/
ATOMIC_SPECIES
Y 88.91 Y.upf
Rb 85.47 Rb.upf
W 183.84 W.upf
CELL_PARAMETERS angstrom
5.5568 0.0000 0.0000
0.0000 5.5568 0.0000
0.0000 0.0000 5.5568
ATOMIC_POSITIONS crystal
Y 0.0000 0.5000 0.0000
Y 0.0000 0.0000 0.5000
Y 0.5000 0.0000 0.0000
Rb 0.5000 0.5000 0.5000
W 0.0000 0.0000 0.0000
! SG ... No. 221
! Formation enthalpy at 0 K ... 680 meV/atom


# 8
! LaAlSiAg2, optimized geometry, DFT PBEsol; values from VASP
&SYSTEM
  ibrav = 0, nat = 5, ntyp = 4
/
ATOMIC_SPECIES
Si 28.09 Si.upf
Al 26.98 Al.upf
Ag 107.87 Ag.upf
La 138.91 La.upf
CELL_PARAMETERS angstrom
5.4164 0.0000 0.0000
0.0000 5.5467 0.0000
0.0000 0.0000 5.5467
ATOMIC_POSITIONS crystal
Si 0.5000 0.0000 0.0000
Al 0.5000 0.5000 0.5000
Ag 0.0000 0.0000 0.5000
Ag 0.0000 0.5000 0.0000
La 0.0000 0.0000 0.0000
! SG ... No. 123
! E_form (uncorrected) ... 1303 meV/atom


# 9
! TaAlOs2, optimized geometry, DFT PBEsol; values from VASP
&SYSTEM
  ibrav = 0, nat = 4, ntyp = 3
/
ATOMIC_SPECIES
Os 190.23 Os.upf
Al 26.98 Al.upf
Ta 180.95 Ta.upf
CELL_PARAMETERS angstrom
-3.5680 2.4580 -0.4931
-3.6333 -1.7407 -1.6686
-3.4728 -0.6608 2.5532
ATOMIC_POSITIONS crystal
Os 0.2500 0.2500 0.2500
Os 0.7500 0.7500 0.7500
Al 0.0000 0.0000 0.0000
Ta 0.5000 0.5000 0.5000
! SG ... No. 225
! Relative energy among the computed polymorphs ... 0.00 eV per formula unit
! Formation enthalpy at 0 K ... -537 meV/atom


# 10
! FeAgPt2, optimized geometry, DFT PBEsol; values from VASP
&SYSTEM
  ibrav = 0, nat = 4, ntyp = 3
/
ATOMIC_SPECIES
Pt 195.08 Pt.upf
Ag 107.87 Ag.upf
Fe 55.84 Fe.upf
CELL_PARAMETERS angstrom
2.7378 0.0000 0.0000
1.3689 2.3710 0.0000
1.3689 0.7903 8.9712
ATOMIC_POSITIONS crystal
Pt 0.2561 0.2561 0.2316
Pt 0.7439 0.7439 0.7684
Ag 0.5000 0.5000 0.5000
Fe 0.0000 0.0000 0.0000
! SG ... No. 166
! Formation enthalpy at 0 K ... -90 meV/atom


# 11
! ZrTe2Pb, optimized geometry, DFT PBEsol; values from VASP
&SYSTEM
  ibrav = 0, nat = 4, ntyp = 3
/
ATOMIC_SPECIES
Pb 207.20 Pb.upf
Te 127.60 Te.upf
Zr 91.22 Zr.upf
CELL_PARAMETERS angstrom
-2.9193 1.4337 -1.8473
-2.8631 -2.2022 -0.9711
-6.4818 1.7905 7.8461
ATOMIC_POSITIONS crystal
Pb 0.0000 0.0000 0.0000
Te 0.8952 0.8952 0.3143
Te 0.1048 0.1048 0.6857
Zr 0.5000 0.5000 0.5000
! SG ... No. 166
! E_form (uncorrected) ... -585 meV/atom


# 12
! Fe2TcTe, optimized geometry, DFT PBEsol; values from VASP
&SYSTEM
  ibrav = 0, nat = 4, ntyp = 3
/
ATOMIC_SPECIES
Fe 55.84 Fe.upf
Tc 98.00 Tc.upf
Te 127.60 Te.upf
CELL_PARAMETERS angstrom
-0.4754 1.2391 -2.6869
-2.7998 0.4110 -0.9864
-1.2085 7.5370 2.0184
ATOMIC_POSITIONS crystal
Fe 0.0065 0.0065 0.9804
Fe 0.7472 0.7472 0.7584
Tc 0.4944 0.4944 0.5169
Te 0.2519 0.2519 0.2444
! SG ... No. 160
! E_form (uncorrected) ... 546 meV/atom


# 13
! SrAsOsSe2, optimized geometry, DFT PBEsol; values from VASP
&SYSTEM
  ibrav = 0, nat = 5, ntyp = 4
/
ATOMIC_SPECIES
Sr 87.62 Sr.upf
As 74.92 As.upf
Os 190.23 Os.upf
Se 78.96 Se.upf
CELL_PARAMETERS angstrom
-3.0620 -0.5296 -4.4579
1.4887 -5.2106 -0.4036
-4.2795 -1.4639 3.1134
ATOMIC_POSITIONS crystal
Sr 0.0000 0.0000 0.0000
As 0.0000 0.0000 0.5000
Os 0.5000 0.5000 0.5000
Se 0.0000 0.5000 0.0000
Se 0.5000 0.0000 0.0000
! SG ... No. 123
! E_form (uncorrected) ... 1880 meV/atom


# 14
! Sc2ZnIr, optimized geometry, DFT PBEsol; values from VASP
&SYSTEM
  ibrav = 0, nat = 4, ntyp = 3
/
ATOMIC_SPECIES
Ir 192.22 Ir.upf
Sc 44.96 Sc.upf
Zn 65.41 Zn.upf
CELL_PARAMETERS angstrom
-0.3760 -1.6286 -2.5326
-0.6791 -2.9519 0.1812
-9.1553 0.4988 -0.7792
ATOMIC_POSITIONS crystal
Ir 0.2467 0.2467 0.2598
Sc 0.9883 0.9883 0.0351
Sc 0.7572 0.7572 0.7284
Zn 0.5078 0.5078 0.4767
! SG ... No. 160
! Relative energy among the computed polymorphs ... 2.42 eV per formula unit
! Formation enthalpy at 0 K ... -112 meV/atom


# 15
! DyMg2Mn3S8, optimized geometry, DFT PBEsol; values from VASP
&SYSTEM
  ibrav = 0, nat = 14, ntyp = 4
/
ATOMIC_SPECIES
Dy 162.50 Dy.upf
Mg 24.30 Mg.upf
Mn 54.94 Mn.upf
S 32.06 S.upf
CELL_PARAMETERS angstrom
-6.8018 -2.1087 -1.4318
-1.1977 -6.1375 -3.6957
-2.7992 -5.8738 3.5236
ATOMIC_POSITIONS crystal
Dy 0.5000 0.5000 0.5000
Mg 0.8744 0.8744 0.3767
Mg 0.1256 0.1256 0.6233
Mn 0.0000 0.5000 0.0000
Mn 0.5000 0.5000 0.0000
Mn 0.5000 0.0000 0.0000
S 0.7402 0.7402 0.7793
S 0.7186 0.2445 0.7924
S 0.2445 0.7186 0.7924
S 0.2445 0.2445 0.7924
S 0.7555 0.2814 0.2076
S 0.7555 0.7555 0.2076
S 0.2598 0.2598 0.2207
S 0.2814 0.7555 0.2076
! SG ... No. 166
! E_form (uncorrected) ... -971 meV/atom


# 16
! SrInAs2, optimized geometry, DFT PBEsol; values from VASP
&SYSTEM
  ibrav = 0, nat = 4, ntyp = 3
/
ATOMIC_SPECIES
Sr 87.62 Sr.upf
As 74.92 As.upf
In 114.82 In.upf
CELL_PARAMETERS angstrom
-3.9683 2.2479 -2.4043
-2.3150 -2.3878 -3.9395
-4.7637 -1.8876 0.5698
ATOMIC_POSITIONS crystal
Sr 0.2500 0.2500 0.2500
As 0.0000 0.0000 0.0000
As 0.7500 0.7500 0.7500
In 0.5000 0.5000 0.5000
! SG ... No. 216
! Formation enthalpy at 0 K ... -164 meV/atom


# 17
! MnPt2W, optimized geometry, DFT PBEsol; values from VASP
&SYSTEM
  ibrav = 0, nat = 4, ntyp = 3
/
ATOMIC_SPECIES
Mn 54.94 Mn.upf
Pt 195.08 Pt.upf
W 183.84 W.upf
CELL_PARAMETERS angstrom
-1.5827 1.9919 -2.8173
-2.9266 0.8666 2.2569
4.1548 1.8075 1.5013
ATOMIC_POSITIONS crystal
Mn 0.5000 0.5000 0.0000
Pt 0.7500 0.2500 0.5000
Pt 0.2500 0.7500 0.5000
W 0.0000 0.0000 0.0000
! SG ... No. 139
! Relative energy among the computed polymorphs ... 0.00 eV per formula unit
! Formation enthalpy at 0 K ... -249 meV/atom


# 18
! SrLiCl2, optimized geometry, DFT PBEsol; values from VASP
&SYSTEM
  ibrav = 0, nat = 4, ntyp = 3
/
ATOMIC_SPECIES
Cl 35.45 Cl.upf
Li 6.94 Li.upf
Sr 87.62 Sr.upf
CELL_PARAMETERS angstrom
3.7602 0.0000 0.0000
1.8801 4.9667 0.0421
1.8801 1.5234 4.7275
ATOMIC_POSITIONS crystal
Cl 0.1987 0.8013 0.8013
Cl 0.8013 0.1987 0.1987
Li 0.5000 0.0000 0.0000
Sr 0.0000 0.5000 0.5000
! SG ... No. 71
! Relative energy among the computed polymorphs ... 0.20 eV per formula unit
! E_form (uncorrected) ... -1582 meV/atom


# 19
! Sc3TePd, optimized geometry, DFT PBEsol; values from VASP
&SYSTEM
  ibrav = 0, nat = 5, ntyp = 3
/
ATOMIC_SPECIES
Sc 44.96 Sc.upf
Te 127.60 Te.upf
Pd 106.42 Pd.upf
CELL_PARAMETERS angstrom
-2.8306 -0.8888 4.0206
0.3696 -4.9140 -0.8261
4.1010 -0.1706 2.8495
ATOMIC_POSITIONS crystal
Sc 0.0000 0.5000 0.0000
Sc 0.0000 0.0000 0.5000
Sc 0.5000 0.0000 0.0000
Te 0.5000 0.5000 0.5000
Pd 0.0000 0.0000 0.0000
! SG ... No. 221
! E_form (uncorrected) ... -389 meV/atom


# 20
! TaAgRu2, optimized geometry, DFT PBEsol; values from VASP
&SYSTEM
  ibrav = 0, nat = 4, ntyp = 3
/
ATOMIC_SPECIES
Ag 107.87 Ag.upf
Ru 101.07 Ru.upf
Ta 180.95 Ta.upf
CELL_PARAMETERS angstrom
2.7698 0.0036 0.0000
-1.0351 2.5691 0.0000
0.0000 0.0000 8.7248
ATOMIC_POSITIONS crystal
Ag 0.5000 0.5000 0.0000
Ru 0.0000 0.0000 0.2668
Ru 0.0000 0.0000 0.7332
Ta 0.5000 0.5000 0.5000
! SG ... No. 65
! Relative energy among the computed polymorphs ... 0.18 eV per formula unit
! Formation enthalpy at 0 K ... 206 meV/atom


# 21
! Li5Mn3O5F3, optimized geometry, DFT PBEsol; values from VASP
&SYSTEM
  ibrav = 0, nat = 16, ntyp = 4
/
ATOMIC_SPECIES
F 19.00 F.upf
Mn 54.94 Mn.upf
O 16.00 O.upf
Li 6.94 Li.upf
CELL_PARAMETERS angstrom
-2.9412 -2.4598 4.1987
2.4034 -5.1033 -1.4644
3.6039 4.5149 1.4351
ATOMIC_POSITIONS crystal
F 0.6571 0.8785 0.7883
F 0.1452 0.8916 0.7915
F 0.0926 0.3721 0.7128
Mn 0.8596 0.6107 0.2189
Mn 0.3756 0.6261 0.2512
Mn 0.3820 0.1324 0.7478
O 0.6089 0.3890 0.2297
O 0.1230 0.4057 0.2487
O 0.6302 0.8485 0.2572
O 0.6174 0.3693 0.7400
O 0.1424 0.8639 0.2803
Li 0.8772 0.1229 0.2470
Li 0.8650 0.1316 0.7426
Li 0.8558 0.6057 0.7286
Li 0.3891 0.1372 0.2730
Li 0.3789 0.6147 0.7425
! SG ... No. 1
! E_form (uncorrected) ... -2077 meV/atom


# 22
! MgSc2Cl, optimized geometry, DFT PBEsol; values from VASP
&SYSTEM
  ibrav = 0, nat = 4, ntyp = 3
/
ATOMIC_SPECIES
Sc 44.96 Sc.upf
Mg 24.30 Mg.upf
Cl 35.45 Cl.upf
CELL_PARAMETERS angstrom
-1.4964 -2.7628 -0.3910
0.7312 -1.8631 -2.4534
6.7892 -6.1498 4.6506
ATOMIC_POSITIONS crystal
Sc 0.8994 0.8994 0.3017
Sc 0.1006 0.1006 0.6983
Mg 0.0000 0.0000 0.0000
Cl 0.5000 0.5000 0.5000
! SG ... No. 166
! Relative energy among the computed polymorphs ... 1.12 eV per formula unit
! E_form (uncorrected) ... -353 meV/atom


# 23
! MgBeRh2, optimized geometry, DFT PBEsol; values from VASP
&SYSTEM
  ibrav = 0, nat = 4, ntyp = 3
/
ATOMIC_SPECIES
Be 9.01 Be.upf
Mg 24.30 Mg.upf
Rh 102.91 Rh.upf
CELL_PARAMETERS angstrom
-1.2560 -1.2553 -2.3509
-0.5184 -3.4846 2.1376
-3.6913 1.3249 1.2647
ATOMIC_POSITIONS crystal
Be 0.5000 0.5000 0.5000
Mg 0.5000 0.0000 0.0000
Rh 0.0000 0.0000 0.5000
Rh 0.0000 0.5000 0.0000
! SG ... No. 123
! Relative energy among the computed polymorphs ... 0.40 eV per formula unit
! Formation enthalpy at 0 K ... -344 meV/atom


# 24
! CoIr2Rh, optimized geometry, DFT PBEsol; values from VASP
&SYSTEM
  ibrav = 0, nat = 4, ntyp = 3
/
ATOMIC_SPECIES
Rh 102.91 Rh.upf
Ir 192.22 Ir.upf
Co 58.93 Co.upf
CELL_PARAMETERS angstrom
3.7430 0.0000 0.0000
0.0000 3.7430 0.0000
-1.8715 -1.8715 3.7256
ATOMIC_POSITIONS crystal
Rh 0.5000 0.5000 0.0000
Ir 0.7500 0.2500 0.5000
Ir 0.2500 0.7500 0.5000
Co 0.0000 0.0000 0.0000
! SG ... No. 139
! Relative energy among the computed polymorphs ... 0.08 eV per formula unit
! Formation enthalpy at 0 K ... 22 meV/atom


# 25
! K3SbTe, optimized geometry, DFT PBEsol; values from VASP
&SYSTEM
  ibrav = 0, nat = 5, ntyp = 3
/
ATOMIC_SPECIES
Sb 121.76 Sb.upf
K 39.10 K.upf
Te 127.60 Te.upf
CELL_PARAMETERS angstrom
6.4376 0.0000 0.0000
0.0000 6.4376 0.0000
0.0000 0.0000 6.4376
ATOMIC_POSITIONS crystal
Sb 0.0000 0.0000 0.0000
K 0.0000 0.5000 0.0000
K 0.0000 0.0000 0.5000
K 0.5000 0.0000 0.0000
Te 0.5000 0.5000 0.5000
! SG ... No. 221
! E_form (uncorrected) ... -98 meV/atom


no.,size of the total moment (μB per cell)
1,4.9
2,0.6
3,0.0
4,2.7
5,0.5
6,0.6
7,0.0
8,0.0
9,0.0
10,3.5
11,0.0
12,4.8
13,3.6
14,0.0
15,12.0
16,0.0
17,2.4
18,0.8
19,0.0
20,0.0
21,12.6
22,0.0
23,0.0
24,1.8
25,2.0